Entry 1:
The following is a PBEsol calculation of a geometry-optimized Si3GeSb structure, from Alexandria via LeMat-Bulk.

Cell and atoms, written as POSCAR:
```
Si3GeSb
1.0
-3.9314 3.1563 -0.3780
-1.5730 -2.4539 -4.1310
-2.7624 -3.0946 2.8902
Si Ge Sb
3 1 1
Direct
0.0000 0.0000 0.5000 Si
0.0000 0.5000 0.0000 Si
0.5000 0.0000 0.0000 Si
0.5000 0.5000 0.5000 Ge
0.0000 0.0000 0.0000 Sb
```

## Properties
* symmetry: No. 221
* energy relative to the elements, uncorrected: 1405.3 meV per atom



Entry 2:
The following is a PBEsol calculation of a geometry-optimized SnGeSb2 structure, from Alexandria via LeMat-Bulk.

Cell and atoms, written as POSCAR:
```
SnGeSb2
1.0
5.1432 0.0000 0.0000
2.5716 4.4541 0.0000
2.5716 1.4847 4.1994
Sb Sn Ge
2 1 1
Direct
0.2500 0.2500 0.2500 Sb
0.7500 0.7500 0.7500 Sb
0.5000 0.5000 0.5000 Sn
0.0000 0.0000 0.0000 Ge
```

## Properties
* symmetry: No. 225
* energy relative to the elements, uncorrected: 184.9 meV per atom



Entry 3:
The following is a PBEsol calculation of a geometry-optimized TcSn2GeSb structure, from Alexandria via LeMat-Bulk.

Cell and atoms, written as POSCAR:
```
TcSn2GeSb
1.0
-4.2523 -2.8318 -0.6810
1.1004 -0.4462 -5.0155
2.7011 -4.2903 0.9742
Ge Sn Sb Tc
1 2 1 1
Direct
0.0000 0.0000 0.0000 Ge
0.5000 0.0000 0.0000 Sn
0.0000 0.5000 0.0000 Sn
0.0000 0.0000 0.5000 Sb
0.5000 0.5000 0.5000 Tc
```

## Properties
* symmetry: No. 123
* energy relative to the elements, uncorrected: 1354.6 meV per atom



Entry 4:
The following is a PBEsol calculation of a geometry-optimized Tc2GeSb structure, from Alexandria via LeMat-Bulk.

Cell and atoms, written as POSCAR:
```
Tc2GeSb
1.0
-0.1666 0.2361 -4.4128
-3.2916 -1.9735 -2.1972
-3.1200 2.4395 -1.9676
Tc Sb Ge
2 1 1
Direct
0.7500 0.7500 0.7500 Tc
0.2500 0.2500 0.2500 Tc
0.5000 0.5000 0.5000 Sb
0.0000 0.0000 0.0000 Ge
```

## Properties
* symmetry: No. 225
* energy relative to the elements, uncorrected: 12.3 meV per atom



Please write out number 3 again, unchanged.
The following is a PBEsol calculation of a geometry-optimized TcSn2GeSb structure, from Alexandria via LeMat-Bulk.

Cell and atoms, written as POSCAR:
```
TcSn2GeSb
1.0
-4.2523 -2.8318 -0.6810
1.1004 -0.4462 -5.0155
2.7011 -4.2903 0.9742
Ge Sn Sb Tc
1 2 1 1
Direct
0.0000 0.0000 0.0000 Ge
0.5000 0.0000 0.0000 Sn
0.0000 0.5000 0.0000 Sn
0.0000 0.0000 0.5000 Sb
0.5000 0.5000 0.5000 Tc
```

## Properties
* symmetry: No. 123
* energy relative to the elements, uncorrected: 1354.6 meV per atom